(1)
Here is a geometry-optimized Ag12Te3Pd5 structure from the Alexandria database. Energies are from PBE.

POSCAR file:
```
Ag12Te3Pd5
1.0
-3.3723 0.3939 -13.3337
9.3693 -9.8610 2.0718
-11.2229 -2.6898 7.4917
Pd Ag Te
20 48 12
direct
0.2500 0.3750 0.6250
0.8750 0.6250 0.7500
0.3750 0.1250 0.7500
0.1250 0.3750 0.2500
0.6250 0.8750 0.2500
0.7500 0.6250 0.3750
0.0000 0.5000 0.0000
0.3750 0.2500 0.1250
0.0000 0.0000 0.0000
0.8750 0.2500 0.6250
0.0000 0.5000 0.5000
0.6250 0.7500 0.8750
0.5000 0.0000 0.5000
0.0000 0.0000 0.5000
0.5000 0.5000 0.0000
0.5000 0.5000 0.5000
0.7500 0.1250 0.8750
0.5000 0.0000 0.0000
0.1250 0.7500 0.3750
0.2500 0.8750 0.1250
0.2732 0.4105 0.8348
0.8627 0.5895 0.9243
0.1373 0.4105 0.0757
0.2732 0.8627 0.9384
0.0757 0.9105 0.1373
0.1652 0.0757 0.9384
0.4243 0.0616 0.3348
0.7732 0.3348 0.9105
0.9105 0.0757 0.6373
0.0616 0.4243 0.8348
0.7732 0.4384 0.3627
0.0616 0.6373 0.7268
0.5895 0.8627 0.4243
0.3627 0.4243 0.0895
0.3348 0.7732 0.4105
0.0895 0.9243 0.3627
0.5757 0.6373 0.4105
0.1373 0.7268 0.5616
0.3348 0.5616 0.4243
0.9384 0.5757 0.1652
0.9243 0.8348 0.5616
0.5757 0.9384 0.6652
0.6373 0.0616 0.2268
0.0895 0.1652 0.2268
0.2268 0.6652 0.0895
0.6652 0.2268 0.5895
0.9243 0.0895 0.8627
0.8348 0.9105 0.2732
0.6652 0.4384 0.5757
0.4384 0.7732 0.8627
0.8627 0.2732 0.4384
0.7268 0.5895 0.1652
0.4105 0.1373 0.5757
0.3627 0.9384 0.7732
0.6373 0.5757 0.9105
0.1652 0.0895 0.7268
0.7268 0.1373 0.0616
0.4243 0.3627 0.5895
0.2268 0.5616 0.6373
0.5616 0.3348 0.9243
0.4384 0.6652 0.0757
0.5895 0.7268 0.6652
0.8348 0.9243 0.0616
0.4105 0.2732 0.3348
0.9105 0.8348 0.7732
0.9384 0.3627 0.2732
0.0757 0.1652 0.4384
0.5616 0.2268 0.1373
0.2500 0.6250 0.8750
0.3750 0.6250 0.2500
0.2500 0.1250 0.3750
0.8750 0.1250 0.2500
0.1250 0.2500 0.8750
0.6250 0.3750 0.7500
0.7500 0.3750 0.1250
0.1250 0.8750 0.7500
0.7500 0.8750 0.6250
0.3750 0.7500 0.6250
0.6250 0.2500 0.3750
0.8750 0.7500 0.1250
```

Calculated values
The total energy is -237.46 eV per cell. The symmetry is No. 230. The calculation puts the formation energy (no corrections) at 0.51 eV/atom.

***

(2)
Here is a geometry-optimized Ag5TePd4 structure from the Alexandria database. Energies are from PBE.

POSCAR file:
```
Ag5TePd4
1.0
-3.4798 -2.9911 0.0479
0.9953 -1.2526 -5.9157
6.1825 -3.6503 1.3892
Ag Pd Te
5 4 1
direct
0.5000 0.5000 0.0000
0.1692 0.4808 0.3385
0.1854 0.9912 0.3707
0.8308 0.5192 0.6615
0.8146 0.0088 0.6293
0.6575 0.7496 0.3150
0.9989 0.2369 0.9978
0.3425 0.2504 0.6850
0.0011 0.7631 0.0022
0.5000 0.0000 0.0000
```

Calculated values
The total energy is -37.87 eV per cell. The symmetry is No. 12. The calculation puts the formation energy (no corrections) at 0.03 eV/atom.

***

(3)
Here is a geometry-optimized AgTe2Pd structure from the Alexandria database. Energies are from PBE.

POSCAR file:
```
AgTe2Pd
1.0
4.2086 0.0000 0.0000
2.1043 3.6447 0.0000
2.1043 1.2149 6.3205
Pd Ag Te
1 1 2
direct
0.6624 0.6624 0.0128
0.5025 0.5025 0.4924
0.2617 0.2617 0.2150
0.0734 0.0734 0.7798
```

Calculated values
The total energy is -14.89 eV per cell. The symmetry is No. 160. The calculation puts the formation energy (no corrections) at -0.14 eV/atom.

***

(4)
Here is a geometry-optimized AgTe2Pd9 structure from the Alexandria database. Energies are from PBE.

POSCAR file:
```
AgTe2Pd9
1.0
4.0888 0.0000 0.0000
0.0000 4.0888 0.0000
0.0000 0.0000 11.9812
Pd Ag Te
9 1 2
direct
0.5000 0.0000 0.5000
0.5000 0.5000 0.6616
0.0000 0.5000 0.8349
0.0000 0.5000 0.5000
0.5000 0.0000 0.8349
0.5000 0.0000 0.1651
0.5000 0.5000 0.3384
0.0000 0.5000 0.1651
0.5000 0.5000 0.0000
0.0000 0.0000 0.0000
0.0000 0.0000 0.3183
0.0000 0.0000 0.6817
```

Calculated values
The total energy is -57.73 eV per cell. The symmetry is No. 123. The calculation puts the formation energy (no corrections) at -0.15 eV/atom.

***

(5)
Here is a geometry-optimized AgTePd2 structure from the Alexandria database. Energies are from PBE.

POSCAR file:
```
AgTePd2
1.0
-1.1109 2.4230 -2.0006
-1.1805 -3.1910 -3.2093
-4.2487 -0.3612 1.9219
Te Pd Ag
1 2 1
direct
0.5000 0.0000 0.0000
0.0000 0.0000 0.5000
0.0000 0.5000 0.0000
0.5000 0.5000 0.5000
```

Calculated values
The total energy is -16.97 eV per cell. The symmetry is No. 123. The calculation puts the formation energy (no corrections) at -0.15 eV/atom.

***

(6)
Here is a geometry-optimized AgTe2Pd structure from the Alexandria database. Energies are from PBE.

POSCAR file:
```
AgTe2Pd
1.0
4.2057 0.0000 0.0000
0.0000 5.7403 0.5989
0.0000 2.6192 8.3665
Pd Te Ag
2 4 2
direct
0.7500 0.1866 0.6096
0.2500 0.8134 0.3904
0.7500 0.9130 0.1757
0.2500 0.3152 0.3971
0.7500 0.6848 0.6029
0.2500 0.0870 0.8243
0.7500 0.6894 0.9332
0.2500 0.3106 0.0668
```

Calculated values
The total energy is -29.84 eV per cell. The symmetry is No. 11. The calculation puts the formation energy (no corrections) at -0.15 eV/atom.

***

(7)
Here is a geometry-optimized AgTePd structure from the Alexandria database. Energies are from PBE.

POSCAR file:
```
AgTePd
1.0
3.6943 0.0000 0.0000
0.0000 3.6943 0.0000
-1.8471 -1.8471 4.3779
Pd Ag Te
1 1 1
direct
0.3227 0.3227 0.6453
0.9966 0.9966 0.9931
0.6808 0.6808 0.3616
```

Calculated values
The total energy is -11.39 eV per cell. The symmetry is No. 107. The value obtained for the excess energy over the best structure of this formula in the dataset is 0.1103 eV per atom. The calculation puts the formation energy (no corrections) at -0.07 eV/atom.

***

(8)
Here is a geometry-optimized AgTePd2 structure from the Alexandria database. Energies are from PBE.

POSCAR file:
```
AgTePd2
1.0
-0.2449 -4.0919 -0.4468
0.5142 -0.4745 4.0637
-9.1098 -1.8629 3.0272
Pd Te Ag
4 2 2
direct
0.6384 0.1250 0.2500
0.1116 0.6250 0.2500
0.3750 0.3616 0.7500
0.8750 0.8884 0.7500
0.7500 0.2500 0.5000
0.0000 0.0000 0.0000
0.2500 0.7500 0.5000
0.5000 0.5000 0.0000
```

Calculated values
The total energy is -32.58 eV per cell. The symmetry is No. 122. The calculation puts the formation energy (no corrections) at 0.02 eV/atom.

***

(9)
Here is a geometry-optimized Ag2Te2Pd structure from the Alexandria database. Energies are from PBE.

POSCAR file:
```
Ag2Te2Pd
1.0
-1.4778 -6.0647 3.9577
6.4188 0.7733 3.5818
-1.9625 2.4309 2.9922
Te Ag Pd
4 4 2
direct
0.3248 0.8248 0.0000
0.6752 0.1752 0.0000
0.8248 0.6752 0.0000
0.1752 0.3248 0.0000
0.8618 0.3618 0.5000
0.1382 0.6382 0.5000
0.6382 0.8618 0.5000
0.3618 0.1382 0.5000
0.0000 0.0000 0.0000
0.5000 0.5000 0.0000
```

Calculated values
The total energy is -34.06 eV per cell. The symmetry is No. 127. The calculation puts the formation energy (no corrections) at 0.03 eV/atom.

***

(10)
Here is a geometry-optimized Ti2Ag2Te6Pd structure from the Alexandria database. Energies are from PBE.

POSCAR file:
```
Ti2Ag2Te6Pd
1.0
6.8001 -0.0843 0.0332
-3.4343 5.8697 0.0332
-1.2311 -2.1162 7.3295
Te Ti Ag Pd
6 2 2 1
direct
0.0740 0.4146 0.7256
0.2407 0.2407 0.2731
0.5854 0.9260 0.2744
0.7593 0.7593 0.7269
0.9260 0.5854 0.2744
0.4146 0.0740 0.7256
0.3403 0.6597 0.5000
0.6597 0.3403 0.5000
0.8284 0.1716 0.0000
0.1716 0.8284 0.0000
0.0000 0.0000 0.5000
```

Calculated values
The total energy is -49.23 eV per cell. The symmetry is No. 12. The calculation puts the formation energy (no corrections) at -0.34 eV/atom.

***

(11)
Here is a geometry-optimized TlAgTe2Pd structure from the Alexandria database. Energies are from PBE.

POSCAR file:
```
TlAgTe2Pd
1.0
-2.6262 4.8205 -0.1281
-0.4710 -0.4128 -5.8781
-6.9956 -3.7104 3.7936
Pd Te Tl Ag
2 4 2 2
direct
0.5000 0.2500 0.0000
0.5000 0.7500 0.0000
0.6764 0.6255 0.2511
0.3236 0.1255 0.2511
0.6764 0.8745 0.7489
0.3236 0.3745 0.7489
0.8071 0.2500 0.5000
0.1929 0.7500 0.5000
0.0000 0.0000 0.0000
0.0000 0.5000 0.0000
```

Calculated values
The total energy is -34.94 eV per cell. The symmetry is No. 67. The calculation puts the formation energy (no corrections) at -0.16 eV/atom.

***

(12)
Here is a geometry-optimized U3Ag3Te8Pd structure from the Alexandria database. Energies are from PBE.

POSCAR file:
```
U3Ag3Te8Pd
1.0
8.5170 0.0000 0.0000
-4.2585 7.3771 -0.0292
0.0000 -4.8951 7.2022
Te Pd Ag U
8 1 3 3
direct
0.2369 0.4738 0.7414
0.2477 0.4954 0.2434
0.7631 0.5262 0.2586
0.2366 0.0049 0.7412
0.7634 0.9951 0.2588
0.7523 0.5046 0.7566
0.7682 0.0049 0.7412
0.2318 0.9951 0.2588
0.0000 0.0000 0.5000
0.5000 0.5000 0.0000
0.0000 0.5000 0.0000
0.0000 0.0000 0.0000
0.0000 0.5000 0.5000
0.5000 0.0000 0.5000
0.5000 0.5000 0.5000
```

Calculated values
The total energy is -77.23 eV per cell. The symmetry is No. 166. The calculation puts the formation energy (no corrections) at -0.30 eV/atom.

***

(13)
Here is a geometry-optimized UAgTe3Pd structure from the Alexandria database. Energies are from PBE.

POSCAR file:
```
UAgTe3Pd
1.0
4.0498 0.0000 0.0000
0.0000 7.5289 0.4118
0.0000 -1.6397 10.4950
Te Ag Pd U
6 2 2 2
direct
0.2500 0.0880 0.8437
0.2500 0.6130 0.8554
0.2500 0.7050 0.4970
0.7500 0.3870 0.1446
0.7500 0.9120 0.1563
0.7500 0.2950 0.5030
0.2500 0.6485 0.2291
0.7500 0.3515 0.7709
0.2500 0.0755 0.5839
0.7500 0.9245 0.4161
0.2500 0.1776 0.2904
0.7500 0.8224 0.7096
```

Calculated values
The total energy is -62.16 eV per cell. The symmetry is No. 11. The calculation puts the formation energy (no corrections) at -0.39 eV/atom.

***

(14)
Here is a geometry-optimized V2AgTePd structure from the Alexandria database. Energies are from PBE.

POSCAR file:
```
V2AgTePd
1.0
-1.7195 -1.1558 -4.3477
-1.0957 -4.6173 1.6609
-4.3745 1.5155 1.3272
V Pd Te Ag
2 1 1 1
direct
0.5000 0.0000 0.0000
0.0000 0.0000 0.5000
0.0000 0.0000 0.0000
0.5000 0.5000 0.5000
0.0000 0.5000 0.0000
```

Calculated values
The total energy is -25.25 eV per cell. The symmetry is No. 123. The calculation puts the formation energy (no corrections) at 0.83 eV/atom.

***

(15)
Here is a geometry-optimized ThAgPd4 structure from the Alexandria database. Energies are from PBE.

POSCAR file:
```
ThAgPd4
1.0
5.3938 0.0000 0.0000
2.6969 4.6712 0.0000
2.6969 1.5571 4.4040
Pd Ag Th
4 1 1
direct
0.6255 0.1234 0.6255
0.6255 0.6255 0.6255
0.1234 0.6255 0.6255
0.6255 0.6255 0.1234
0.0000 0.0000 0.0000
0.2500 0.2500 0.2500
```

Calculated values
The total energy is -34.76 eV per cell. The symmetry is No. 216. The energy relative to the elements is -3.7 eV/f.u.

***

(16)
Here is a geometry-optimized Th2AgPd structure from the Alexandria database. Energies are from PBE.

POSCAR file:
```
Th2AgPd
1.0
5.2124 0.0000 0.0000
2.6062 4.5141 0.0000
2.6062 1.5047 4.2559
Th Pd Ag
2 1 1
direct
0.7500 0.7500 0.7500
0.2500 0.2500 0.2500
0.0000 0.0000 0.0000
0.5000 0.5000 0.5000
```

Calculated values
The total energy is -24.14 eV per cell. The symmetry is No. 225. The energy relative to the elements is -1.3 eV/f.u. The value obtained for the excess energy over the best structure of this formula in the dataset is 0.0267 eV per atom.

***

(17)
Here is a geometry-optimized ThAgPd5 structure from the Alexandria database. Energies are from PBE.

POSCAR file:
```
ThAgPd5
1.0
-0.2071 3.1626 2.7692
-3.9018 -1.1763 1.0516
2.8379 -4.5638 5.4243
Pd Th Ag
5 1 1
direct
0.5000 0.0000 0.2647
0.5000 0.5000 0.0000
0.5000 0.0000 0.7353
0.0000 0.5000 0.7353
0.0000 0.5000 0.2647
0.0000 0.0000 0.0000
0.0000 0.0000 0.5000
```

Calculated values
The total energy is -38.95 eV per cell. The symmetry is No. 123. The energy relative to the elements is -2.7 eV/f.u.

***

(18)
Here is a geometry-optimized ThAg5Pd6 structure from the Alexandria database. Energies are from PBE.

POSCAR file:
```
ThAg5Pd6
1.0
4.8858 0.0024 -0.4850
-0.0030 6.1070 -0.0009
-0.1784 0.0009 7.1115
Pd Ag Th
6 5 1
direct
0.8502 0.7488 0.6666
0.8502 0.2512 0.6666
0.1498 0.2512 0.3334
0.5000 0.7434 0.0000
0.1498 0.7488 0.3334
0.5000 0.2566 0.0000
0.6533 0.5000 0.3327
0.3520 0.0000 0.6608
0.6480 0.0000 0.3392
0.0000 0.5000 0.0000
0.3467 0.5000 0.6673
0.0000 0.0000 0.0000
```

Calculated values
The total energy is -56.40 eV per cell. The symmetry is No. 10. The energy relative to the elements is -3.6 eV/f.u.

***

(19)
Here is a geometry-optimized ThAgPd2 structure from the Alexandria database. Energies are from PBE.

POSCAR file:
```
ThAgPd2
1.0
3.7143 0.0000 0.0000
0.0000 4.6615 0.0000
0.0000 0.0000 4.6615
Pd Ag Th
2 1 1
direct
0.0000 0.5000 0.0000
0.0000 0.0000 0.5000
0.5000 0.0000 0.0000
0.5000 0.5000 0.5000
```

Calculated values
The total energy is -22.63 eV per cell. The symmetry is No. 123. The energy relative to the elements is -2.0 eV/f.u. The value obtained for the excess energy over the best structure of this formula in the dataset is 0.0671 eV per atom.

***

(20)
Here is a geometry-optimized Th2Ag3Pd structure from the Alexandria database. Energies are from PBE.

POSCAR file:
```
Th2Ag3Pd
1.0
3.4248 0.0000 0.0000
0.0000 4.8024 0.0000
0.0000 0.0000 8.3641
Th Ag Pd
2 3 1
direct
0.0000 0.0000 0.4843
0.0000 0.5000 0.0184
0.5000 0.0000 0.8311
0.5000 0.0000 0.1634
0.5000 0.5000 0.6678
0.5000 0.5000 0.3350
```

Calculated values
The total energy is -30.36 eV per cell. The symmetry is No. 25. The energy relative to the elements is -1.8 eV/f.u.